An optimized crystal structure of LuMnZn2, computed with PBE.

Computed properties:
calculated formation energy: -93 meV/atom
E: -4.153 eV/atom
total moment: 3.37 μB per formula unit

Geometry as POSCAR:
```
LuMnZn2
1.0
-1.389 -2.953 0.244
1.505 -0.935 -2.751
5.121 -2.118 3.522
Mn Zn Lu
1 2 1
Direct
0.500 0.500 0.000
0.000 0.000 0.207
0.000 0.000 0.793
0.500 0.500 0.500
```


An optimized crystal structure of UHg2I5F4, computed with PBE.

Computed properties:
raw formation energy: -1.44 eV per atom
E: -3.702 eV/atom
total moment: 1.44 μB per formula unit

Geometry as POSCAR:
```
UHg2I5F4
1.0
-1.423 -8.156 -2.325
3.869 5.210 -4.741
6.615 -2.050 3.146
I F Hg U
5 4 2 1
Direct
0.183 0.480 0.760
0.704 0.520 0.240
0.704 0.520 0.760
0.258 0.000 0.500
0.183 0.480 0.240
0.568 0.000 0.811
0.121 0.793 0.000
0.568 0.000 0.189
0.329 0.207 0.000
0.976 0.565 0.500
0.411 0.435 0.500
0.400 0.000 0.000
```


An optimized crystal structure of KAgI4, computed with PBE.

Computed properties:
raw formation energy: -0.52 eV per atom
E: -2.210 eV/atom
total moment: 0.00 μB per formula unit

Geometry as POSCAR:
```
KAgI4
1.0
6.144 -0.623 -1.040
-3.827 7.478 -2.874
0.862 1.142 11.158
I K Ag
8 2 2
Direct
0.737 0.160 0.005
0.263 0.840 0.995
0.268 0.345 0.005
0.702 0.808 0.645
0.943 0.338 0.645
0.298 0.192 0.355
0.732 0.655 0.995
0.057 0.662 0.355
0.668 0.918 0.335
0.332 0.082 0.665
0.240 0.490 0.480
0.760 0.510 0.520
```